(1)
Below is crystalline Sr3LiPt3 at its relaxed geometry, with properties calculated at the GGA-PBE level.

a = 11.337 Å, b = 4.355 Å, c = 15.231 Å
α = 90.00°, β = 110.83°, γ = 90.00°
Space group C2/m (No. 12)
Inequivalent atoms, fractional coordinates:
Sr 0.030 0.000 0.383 (multiplicity 4)
Sr 0.104 0.000 0.924 (multiplicity 4)
Sr 0.245 0.000 0.229 (multiplicity 4)
Li 0.237 0.500 0.415 (multiplicity 4)
Pt 0.039 0.500 0.236 (multiplicity 4)
Pt 0.110 0.500 0.079 (multiplicity 4)
Pt 0.128 0.500 0.549 (multiplicity 4)

Properties
Density of states at the Fermi level (states/eV per atom): 0.3254
Calculated total energy (eV/atom): -4.325
Volume (Å³/f.u.): 175.7



(2)
Below is crystalline Sr4Li3Pt2 at its relaxed geometry, with properties calculated at the GGA-PBE level.

a = 17.603 Å, b = 4.766 Å, c = 6.549 Å
α = 90.00°, β = 108.21°, γ = 90.00°
Space group C2/m (No. 12)
Inequivalent atoms, fractional coordinates:
Sr 0.068 0.000 0.336 (multiplicity 4)
Sr 0.224 0.500 0.193 (multiplicity 4)
Li 0.000 0.500 0.000 (multiplicity 2)
Li 0.097 0.500 0.723 (multiplicity 4)
Pt 0.112 0.000 0.904 (multiplicity 4)

Properties
Density of states at the Fermi level (states/eV per atom): 0.5201
Calculated total energy (eV/atom): -3.153
Volume (Å³/f.u.): 261.0



(3)
Below is crystalline SrLi3Pt2 at its relaxed geometry, with properties calculated at the GGA-PBE level.

a = 9.484 Å, b = 8.497 Å, c = 5.625 Å
α = 90.00°, β = 90.00°, γ = 90.00°
Space group Cmcm (No. 63)
Inequivalent atoms, fractional coordinates:
Sr 0.000 0.156 0.250 (multiplicity 4)
Li 0.000 0.476 0.750 (multiplicity 4)
Li 0.190 0.238 0.750 (multiplicity 8)
Pt 0.230 0.500 0.000 (multiplicity 8)

Properties
Density of states at the Fermi level (states/eV per atom): 0.2530
Calculated total energy (eV/atom): -3.808
Volume (Å³/f.u.): 113.3
Excess energy over the best structure of this formula in the dataset (meV/atom): 0.0



(4)
Below is crystalline SrLiPt3 at its relaxed geometry, with properties calculated at the GGA-PBE level.

a = 4.497 Å, b = 4.497 Å, c = 4.497 Å
α = 90.00°, β = 90.00°, γ = 90.00°
Space group Pm-3m (No. 221)
Inequivalent atoms, fractional coordinates:
Sr 0.000 0.000 0.000 (multiplicity 1)
Li 0.500 0.500 0.500 (multiplicity 1)
Pt 0.000 0.500 0.500 (multiplicity 3)

Properties
Density of states at the Fermi level (states/eV per atom): 0.7527
Calculated total energy (eV/atom): -4.561
Volume (Å³/f.u.): 91.0
Excess energy over the best structure of this formula in the dataset (meV/atom): 0.0



(5)
Below is crystalline SrLi2Pt at its relaxed geometry, with properties calculated at the GGA-PBE level.

a = 4.994 Å, b = 4.994 Å, c = 7.034 Å
α = 90.00°, β = 90.00°, γ = 90.00°
Space group I-4m2 (No. 119)
Inequivalent atoms, fractional coordinates:
Sr 0.000 0.000 0.000 (multiplicity 2)
Li 0.000 0.000 0.500 (multiplicity 2)
Li 0.000 0.500 0.250 (multiplicity 2)
Pt 0.000 0.500 0.750 (multiplicity 2)

Properties
Density of states at the Fermi level (states/eV per atom): 0.2963
Calculated total energy (eV/atom): -3.214
Volume (Å³/f.u.): 87.7
Excess energy over the best structure of this formula in the dataset (meV/atom): 150.2



(6)
Below is crystalline Sr2LiPt2 at its relaxed geometry, with properties calculated at the GGA-PBE level.

a = 5.910 Å, b = 5.910 Å, c = 7.979 Å
α = 90.00°, β = 90.00°, γ = 90.00°
Space group I4/mmm (No. 139)
Inequivalent atoms, fractional coordinates:
Sr 0.000 0.500 0.250 (multiplicity 4)
Li 0.000 0.000 0.000 (multiplicity 2)
Pt 0.000 0.000 0.333 (multiplicity 4)

Properties
Density of states at the Fermi level (states/eV per atom): 0.3659
Calculated total energy (eV/atom): -3.955
Volume (Å³/f.u.): 139.4
Excess energy over the best structure of this formula in the dataset (meV/atom): 263.6



(7)
Below is crystalline SrLiPt at its relaxed geometry, with properties calculated at the GGA-PBE level.

a = 4.4208 Å, b = 4.4208 Å, c = 4.1583 Å
α = 90.00°, β = 90.00°, γ = 120.00°
Space group P-6m2 (No. 187)
Inequivalent atoms, fractional coordinates:
Sr 0.0000 0.0000 0.0000 (multiplicity 1)
Li 0.3333 0.6667 0.5000 (multiplicity 1)
Pt 0.6667 0.3333 0.5000 (multiplicity 1)

Properties
Density of states at the Fermi level (states/eV per atom): 0.2832
Calculated total energy (eV/atom): -3.782
Volume (Å³/f.u.): 70.4
Excess energy over the best structure of this formula in the dataset (meV/atom): 63.3



(8)
Below is crystalline Sr3Li4Pt4 at its relaxed geometry, with properties calculated at the GGA-PBE level.

a = 4.337 Å, b = 7.384 Å, c = 14.681 Å
α = 90.00°, β = 90.00°, γ = 90.00°
Space group Immm (No. 71)
Inequivalent atoms, fractional coordinates:
Sr 0.000 0.000 0.000 (multiplicity 2)
Sr 0.000 0.500 0.126 (multiplicity 4)
Li 0.000 0.311 0.327 (multiplicity 8)
Pt 0.000 0.000 0.219 (multiplicity 4)
Pt 0.000 0.185 0.500 (multiplicity 4)

Properties
Density of states at the Fermi level (states/eV per atom): 0.4862
Calculated total energy (eV/atom): -3.953
Volume (Å³/f.u.): 235.1
Excess energy over the best structure of this formula in the dataset (meV/atom): 0.0



(9)
Below is crystalline SrLiPt2 at its relaxed geometry, with properties calculated at the GGA-PBE level.

a = 4.923 Å, b = 4.923 Å, c = 16.523 Å
α = 90.00°, β = 90.00°, γ = 90.00°
Space group I-42d (No. 122)
Inequivalent atoms, fractional coordinates:
Sr 0.000 0.000 0.000 (multiplicity 4)
Li 0.000 0.000 0.500 (multiplicity 4)
Pt 0.059 0.750 0.625 (multiplicity 8)

Properties
Density of states at the Fermi level (states/eV per atom): 0.4504
Calculated total energy (eV/atom): -4.383
Volume (Å³/f.u.): 100.1
Excess energy over the best structure of this formula in the dataset (meV/atom): 123.4



(10)
Below is crystalline SrLiPt2 at its relaxed geometry, with properties calculated at the GGA-PBE level.

a = 4.447 Å, b = 4.458 Å, c = 7.846 Å
α = 90.00°, β = 90.00°, γ = 90.00°
Space group Imm2 (No. 44)
Inequivalent atoms, fractional coordinates:
Sr 0.000 0.000 0.000 (multiplicity 2)
Li 0.000 0.500 0.249 (multiplicity 2)
Pt 0.000 0.000 0.500 (multiplicity 2)
Pt 0.000 0.500 0.750 (multiplicity 2)

Properties
Density of states at the Fermi level (states/eV per atom): 0.4341
Calculated total energy (eV/atom): -4.345
Volume (Å³/f.u.): 77.8
Excess energy over the best structure of this formula in the dataset (meV/atom): 161.5



(11)
Below is crystalline Sr3LiPt8 at its relaxed geometry, with properties calculated at the GGA-PBE level.

a = 5.5168 Å, b = 5.5168 Å, c = 26.8284 Å
α = 90.00°, β = 90.00°, γ = 120.00°
Space group R3m (No. 160, hexagonal axes)
Inequivalent atoms, fractional coordinates:
Sr 0.0000 0.0000 0.0000 (multiplicity 3)
Sr 0.0000 0.0000 0.1277 (multiplicity 3)
Sr 0.0000 0.0000 0.6182 (multiplicity 3)
Li 0.0000 0.0000 0.4930 (multiplicity 3)
Pt 0.0000 0.0000 0.3117 (multiplicity 3)
Pt 0.0000 0.0000 0.8121 (multiplicity 3)
Pt 0.0003 0.5002 0.5608 (multiplicity 9)
Pt 0.0013 0.5006 0.0630 (multiplicity 9)

Properties
Density of states at the Fermi level (states/eV per atom): 0.5001
Calculated total energy (eV/atom): -5.397
Volume (Å³/f.u.): 235.7



(12)
Below is crystalline SrLiPt2 at its relaxed geometry, with properties calculated at the GGA-PBE level.

a = 10.930 Å, b = 3.006 Å, c = 5.168 Å
α = 90.00°, β = 106.80°, γ = 90.00°
Space group Cm (No. 8)
Inequivalent atoms, fractional coordinates:
Sr 0.000 0.000 0.000 (multiplicity 2)
Li 0.193 0.000 0.624 (multiplicity 2)
Pt 0.253 0.500 0.143 (multiplicity 2)
Pt 0.449 0.000 0.477 (multiplicity 2)

Properties
Density of states at the Fermi level (states/eV per atom): 0.4844
Calculated total energy (eV/atom): -4.316
Volume (Å³/f.u.): 81.3
Excess energy over the best structure of this formula in the dataset (meV/atom): 190.3